Here is YCr3O after structural relaxation from Alexandria. Energies are from GGA+U.

The calculation puts the calculated total energy at -34.1 eV/cell. The calculation puts the energy above the most stable polymorph in this dataset at 0 meV per atom. As for the magnetic moment: 12.242 μB/f.u. As for the crystal system: cubic.

The structure belongs to space group Pm-3m (No. 221); the cell edges are 4.5024, 4.5024 and 4.5024 Å and the angles 90.00°, 90.00° and 90.00°. Symmetry generates all atoms from Y at (0.0000, 0.0000, 0.0000), Cr at (0.0000, 0.5000, 0.5000) and O at (0.5000, 0.5000, 0.5000).